# PBE Na3LaBi2Se6, relaxed
data_Na3LaBi2Se6
_cell_length_a 7.414
_cell_length_b 12.844
_cell_length_c 7.498
_cell_angle_alpha 90.00
_cell_angle_beta 109.19
_cell_angle_gamma 90.00
_symmetry_space_group_name_H-M 'C 1 2/m 1'
_symmetry_Int_Tables_number 12
loop_
_symmetry_equiv_pos_as_xyz
'x,y,z'
'-x,-y,-z'
'-x,y,-z'
'x,-y,z'
'x+1/2,y+1/2,z'
'-x+1/2,-y+1/2,-z'
'-x+1/2,y+1/2,-z'
'x+1/2,-y+1/2,z'
loop_
_atom_site_label
_atom_site_fract_x
_atom_site_fract_y
_atom_site_fract_z
Na1 0.000 0.000 0.000
Na2 0.000 0.329 0.000
La1 0.000 0.500 0.500
Bi1 0.000 0.166 0.500
Se1 0.241 0.000 0.740
Se2 0.248 0.331 0.737
# Formation energy from raw total energies ... -1080.3 meV per atom